# 1
Here is a relaxed PmY5Ag crystal from the Alexandria database. Energies are from PBE.

```
data_PmY5Ag
_chemical_formula_sum 'Pm2 Y10 Ag2'
_cell_length_a 6.006
_cell_length_b 6.006
_cell_length_c 12.199
_cell_angle_alpha 98.98
_cell_angle_beta 98.98
_cell_angle_gamma 85.52
_symmetry_space_group_name_H-M 'P 1'
_symmetry_Int_Tables_number 1
loop_
_symmetry_equiv_pos_as_xyz
'x,y,z'
loop_
_atom_site_label
_atom_site_type_symbol
_atom_site_fract_x
_atom_site_fract_y
_atom_site_fract_z
_atom_site_occupancy
Pm1 Pm 0.136 0.864 0.750 1
Pm2 Pm 0.864 0.136 0.250 1
Y1 Y 0.003 0.287 0.573 1
Y2 Y 0.064 0.396 0.871 1
Y3 Y 0.287 0.003 0.073 1
Y4 Y 0.396 0.064 0.371 1
Y5 Y 0.470 0.530 0.250 1
Y6 Y 0.530 0.470 0.750 1
Y7 Y 0.604 0.936 0.629 1
Y8 Y 0.713 0.997 0.927 1
Y9 Y 0.936 0.604 0.129 1
Y10 Y 0.997 0.713 0.427 1
Ag1 Ag 0.500 0.500 0.000 1
Ag2 Ag 0.500 0.500 0.500 1
```

***

# 2
Here is a relaxed PmY2Ag6 crystal from the Alexandria database. Energies are from PBE.

```
data_PmY2Ag6
_chemical_formula_sum 'Pm1 Y2 Ag6'
_cell_length_a 8.569
_cell_length_b 8.569
_cell_length_c 5.371
_cell_angle_alpha 98.91
_cell_angle_beta 98.91
_cell_angle_gamma 143.67
_symmetry_space_group_name_H-M 'P 1'
_symmetry_Int_Tables_number 1
loop_
_symmetry_equiv_pos_as_xyz
'x,y,z'
loop_
_atom_site_label
_atom_site_type_symbol
_atom_site_fract_x
_atom_site_fract_y
_atom_site_fract_z
_atom_site_occupancy
Pm1 Pm 0.000 0.000 0.000 1
Y1 Y 0.335 0.665 0.500 1
Y2 Y 0.665 0.335 0.500 1
Ag1 Ag 0.004 0.339 0.835 1
Ag2 Ag 0.339 0.004 0.835 1
Ag3 Ag 0.339 0.339 0.676 1
Ag4 Ag 0.661 0.661 0.324 1
Ag5 Ag 0.661 0.996 0.165 1
Ag6 Ag 0.996 0.661 0.165 1
```

***

# 3
Here is a relaxed Pm4YAg crystal from the Alexandria database. Energies are from PBE.

```
data_Pm4YAg
_chemical_formula_sum 'Pm4 Y1 Ag1'
_cell_length_a 3.653
_cell_length_b 3.653
_cell_length_c 14.127
_cell_angle_alpha 90.00
_cell_angle_beta 90.00
_cell_angle_gamma 90.00
_symmetry_space_group_name_H-M 'P 1'
_symmetry_Int_Tables_number 1
loop_
_symmetry_equiv_pos_as_xyz
'x,y,z'
loop_
_atom_site_label
_atom_site_type_symbol
_atom_site_fract_x
_atom_site_fract_y
_atom_site_fract_z
_atom_site_occupancy
Pm1 Pm 0.000 0.000 0.138 1
Pm2 Pm 0.000 0.000 0.862 1
Pm3 Pm 0.500 0.500 0.322 1
Pm4 Pm 0.500 0.500 0.678 1
Y1 Y 0.000 0.000 0.500 1
Ag1 Ag 0.500 0.500 0.000 1
```

***

# 4
Here is a relaxed Pm4Y5Ag crystal from the Alexandria database. Energies are from PBE.

```
data_Pm4Y5Ag
_chemical_formula_sum 'Pm4 Y5 Ag1'
_cell_length_a 3.610
_cell_length_b 3.610
_cell_length_c 24.239
_cell_angle_alpha 90.00
_cell_angle_beta 90.00
_cell_angle_gamma 90.00
_symmetry_space_group_name_H-M 'P 1'
_symmetry_Int_Tables_number 1
loop_
_symmetry_equiv_pos_as_xyz
'x,y,z'
loop_
_atom_site_label
_atom_site_type_symbol
_atom_site_fract_x
_atom_site_fract_y
_atom_site_fract_z
_atom_site_occupancy
Pm1 Pm 0.000 0.000 0.105 1
Pm2 Pm 0.000 0.000 0.316 1
Pm3 Pm 0.000 0.000 0.684 1
Pm4 Pm 0.000 0.000 0.895 1
Y1 Y 0.500 0.500 0.000 1
Y2 Y 0.500 0.500 0.211 1
Y3 Y 0.500 0.500 0.423 1
Y4 Y 0.500 0.500 0.577 1
Y5 Y 0.500 0.500 0.789 1
Ag1 Ag 0.000 0.000 0.500 1
```

***

# 5
Here is a relaxed PmYAg crystal from the Alexandria database. Energies are from PBE.

Summary:
Energy above the most stable polymorph in this dataset = 16 meV/atom

```
data_PmYAg
_chemical_formula_sum 'Pm2 Y2 Ag2'
_cell_length_a 6.823
_cell_length_b 6.823
_cell_length_c 8.548
_cell_angle_alpha 124.91
_cell_angle_beta 124.91
_cell_angle_gamma 32.70
_symmetry_space_group_name_H-M 'P 1'
_symmetry_Int_Tables_number 1
loop_
_symmetry_equiv_pos_as_xyz
'x,y,z'
loop_
_atom_site_label
_atom_site_type_symbol
_atom_site_fract_x
_atom_site_fract_y
_atom_site_fract_z
_atom_site_occupancy
Pm1 Pm 0.101 0.101 0.376 1
Pm2 Pm 0.899 0.899 0.624 1
Y1 Y 0.348 0.348 0.941 1
Y2 Y 0.652 0.652 0.059 1
Ag1 Ag 0.371 0.371 0.317 1
Ag2 Ag 0.629 0.629 0.683 1
```

***

# 6
Here is a relaxed PmY5Ag4 crystal from the Alexandria database. Energies are from PBE.

```
data_PmY5Ag4
_chemical_formula_sum 'Pm1 Y5 Ag4'
_cell_length_a 3.622
_cell_length_b 3.622
_cell_length_c 19.840
_cell_angle_alpha 90.00
_cell_angle_beta 90.00
_cell_angle_gamma 90.00
_symmetry_space_group_name_H-M 'P 1'
_symmetry_Int_Tables_number 1
loop_
_symmetry_equiv_pos_as_xyz
'x,y,z'
loop_
_atom_site_label
_atom_site_type_symbol
_atom_site_fract_x
_atom_site_fract_y
_atom_site_fract_z
_atom_site_occupancy
Pm1 Pm 0.000 0.000 0.000 1
Y1 Y 0.500 0.500 0.128 1
Y2 Y 0.500 0.500 0.313 1
Y3 Y 0.500 0.500 0.500 1
Y4 Y 0.500 0.500 0.687 1
Y5 Y 0.500 0.500 0.872 1
Ag1 Ag 0.000 0.000 0.220 1
Ag2 Ag 0.000 0.000 0.407 1
Ag3 Ag 0.000 0.000 0.593 1
Ag4 Ag 0.000 0.000 0.780 1
```

***

# 7
Here is a relaxed PmYZnAg crystal from the Alexandria database. Energies are from PBE.

Summary:
Energy above the most stable polymorph in this dataset = 0 meV/atom

```
data_PmYZnAg
_chemical_formula_sum 'Pm1 Y1 Zn1 Ag1'
_cell_length_a 3.649
_cell_length_b 3.649
_cell_length_c 7.318
_cell_angle_alpha 90.00
_cell_angle_beta 90.00
_cell_angle_gamma 90.00
_symmetry_space_group_name_H-M 'P 1'
_symmetry_Int_Tables_number 1
loop_
_symmetry_equiv_pos_as_xyz
'x,y,z'
loop_
_atom_site_label
_atom_site_type_symbol
_atom_site_fract_x
_atom_site_fract_y
_atom_site_fract_z
_atom_site_occupancy
Pm1 Pm 0.000 0.000 0.000 1
Y1 Y 0.000 0.000 0.516 1
Zn1 Zn 0.500 0.500 0.750 1
Ag1 Ag 0.500 0.500 0.271 1
```

***

# 8
Here is a relaxed PmYZnAg crystal from the Alexandria database. Energies are from PBE.

Summary:
Energy above the most stable polymorph in this dataset = 13 meV/atom

```
data_PmYZnAg
_chemical_formula_sum 'Pm1 Y1 Zn1 Ag1'
_cell_length_a 5.175
_cell_length_b 5.175
_cell_length_c 5.175
_cell_angle_alpha 60.00
_cell_angle_beta 60.00
_cell_angle_gamma 60.00
_symmetry_space_group_name_H-M 'P 1'
_symmetry_Int_Tables_number 1
loop_
_symmetry_equiv_pos_as_xyz
'x,y,z'
loop_
_atom_site_label
_atom_site_type_symbol
_atom_site_fract_x
_atom_site_fract_y
_atom_site_fract_z
_atom_site_occupancy
Pm1 Pm 0.000 0.000 0.000 1
Y1 Y 0.500 0.500 0.500 1
Zn1 Zn 0.750 0.750 0.750 1
Ag1 Ag 0.250 0.250 0.250 1
```

***

# 9
Here is a relaxed YbPmAg2 crystal from the Alexandria database. Energies are from PBE.

```
data_YbPmAg2
_chemical_formula_sum 'Yb1 Pm1 Ag2'
_cell_length_a 5.223
_cell_length_b 5.223
_cell_length_c 5.223
_cell_angle_alpha 60.00
_cell_angle_beta 60.00
_cell_angle_gamma 60.00
_symmetry_space_group_name_H-M 'P 1'
_symmetry_Int_Tables_number 1
loop_
_symmetry_equiv_pos_as_xyz
'x,y,z'
loop_
_atom_site_label
_atom_site_type_symbol
_atom_site_fract_x
_atom_site_fract_y
_atom_site_fract_z
_atom_site_occupancy
Yb1 Yb 0.000 0.000 0.000 1
Pm1 Pm 0.500 0.500 0.500 1
Ag1 Ag 0.250 0.250 0.250 1
Ag2 Ag 0.750 0.750 0.750 1
```

***

# 10
Here is a relaxed PmZn12Ag6 crystal from the Alexandria database. Energies are from PBE.

```
data_PmZn12Ag6
_chemical_formula_sum 'Pm1 Zn12 Ag6'
_cell_length_a 7.290
_cell_length_b 7.290
_cell_length_c 7.290
_cell_angle_alpha 104.47
_cell_angle_beta 104.47
_cell_angle_gamma 104.47
_symmetry_space_group_name_H-M 'P 1'
_symmetry_Int_Tables_number 1
loop_
_symmetry_equiv_pos_as_xyz
'x,y,z'
loop_
_atom_site_label
_atom_site_type_symbol
_atom_site_fract_x
_atom_site_fract_y
_atom_site_fract_z
_atom_site_occupancy
Pm1 Pm 0.000 0.000 0.000 1
Zn1 Zn 0.108 0.500 0.892 1
Zn2 Zn 0.108 0.892 0.500 1
Zn3 Zn 0.128 0.377 0.377 1
Zn4 Zn 0.377 0.128 0.377 1
Zn5 Zn 0.377 0.377 0.128 1
Zn6 Zn 0.500 0.108 0.892 1
Zn7 Zn 0.500 0.892 0.108 1
Zn8 Zn 0.623 0.623 0.872 1
Zn9 Zn 0.623 0.872 0.623 1
Zn10 Zn 0.872 0.623 0.623 1
Zn11 Zn 0.892 0.108 0.500 1
Zn12 Zn 0.892 0.500 0.108 1
Ag1 Ag 0.290 0.707 0.707 1
Ag2 Ag 0.293 0.293 0.710 1
Ag3 Ag 0.293 0.710 0.293 1
Ag4 Ag 0.707 0.290 0.707 1
Ag5 Ag 0.707 0.707 0.290 1
Ag6 Ag 0.710 0.293 0.293 1
```

***

# 11
Here is a relaxed Pm3ZnAg crystal from the Alexandria database. Energies are from PBE.

Summary:
Energy above the most stable polymorph in this dataset = 0 meV/atom

```
data_Pm3ZnAg
_chemical_formula_sum 'Pm6 Zn2 Ag2'
_cell_length_a 10.278
_cell_length_b 10.278
_cell_length_c 5.239
_cell_angle_alpha 90.00
_cell_angle_beta 90.00
_cell_angle_gamma 150.50
_symmetry_space_group_name_H-M 'P 1'
_symmetry_Int_Tables_number 1
loop_
_symmetry_equiv_pos_as_xyz
'x,y,z'
loop_
_atom_site_label
_atom_site_type_symbol
_atom_site_fract_x
_atom_site_fract_y
_atom_site_fract_z
_atom_site_occupancy
Pm1 Pm 0.064 0.936 0.750 1
Pm2 Pm 0.249 0.751 0.750 1
Pm3 Pm 0.433 0.567 0.750 1
Pm4 Pm 0.567 0.433 0.250 1
Pm5 Pm 0.751 0.249 0.250 1
Pm6 Pm 0.936 0.064 0.250 1
Zn1 Zn 0.155 0.845 0.250 1
Zn2 Zn 0.845 0.155 0.750 1
Ag1 Ag 0.341 0.659 0.250 1
Ag2 Ag 0.659 0.341 0.750 1
```

***

# 12
Here is a relaxed Pm3Zn2Ag3 crystal from the Alexandria database. Energies are from PBE.

Summary:
Energy above the most stable polymorph in this dataset = 11 meV/atom

```
data_Pm3Zn2Ag3
_chemical_formula_sum 'Pm12 Zn8 Ag12'
_cell_length_a 8.161
_cell_length_b 16.280
_cell_length_c 5.662
_cell_angle_alpha 90.00
_cell_angle_beta 90.00
_cell_angle_gamma 90.00
_symmetry_space_group_name_H-M 'P 1'
_symmetry_Int_Tables_number 1
loop_
_symmetry_equiv_pos_as_xyz
'x,y,z'
loop_
_atom_site_label
_atom_site_type_symbol
_atom_site_fract_x
_atom_site_fract_y
_atom_site_fract_z
_atom_site_occupancy
Pm1 Pm 0.043 0.107 0.130 1
Pm2 Pm 0.043 0.393 0.130 1
Pm3 Pm 0.177 0.250 0.634 1
Pm4 Pm 0.323 0.750 0.134 1
Pm5 Pm 0.457 0.607 0.630 1
Pm6 Pm 0.457 0.893 0.630 1
Pm7 Pm 0.543 0.107 0.370 1
Pm8 Pm 0.543 0.393 0.370 1
Pm9 Pm 0.677 0.250 0.866 1
Pm10 Pm 0.823 0.750 0.366 1
Pm11 Pm 0.957 0.607 0.870 1
Pm12 Pm 0.957 0.893 0.870 1
Zn1 Zn 0.109 0.610 0.370 1
Zn2 Zn 0.109 0.890 0.370 1
Zn3 Zn 0.391 0.110 0.870 1
Zn4 Zn 0.391 0.390 0.870 1
Zn5 Zn 0.609 0.610 0.130 1
Zn6 Zn 0.609 0.890 0.130 1
Zn7 Zn 0.891 0.110 0.630 1
Zn8 Zn 0.891 0.390 0.630 1
Ag1 Ag 0.172 0.750 0.632 1
Ag2 Ag 0.181 0.034 0.598 1
Ag3 Ag 0.181 0.466 0.598 1
Ag4 Ag 0.319 0.534 0.098 1
Ag5 Ag 0.319 0.966 0.098 1
Ag6 Ag 0.328 0.250 0.132 1
Ag7 Ag 0.672 0.750 0.868 1
Ag8 Ag 0.681 0.034 0.902 1
Ag9 Ag 0.681 0.466 0.902 1
Ag10 Ag 0.819 0.534 0.402 1
Ag11 Ag 0.819 0.966 0.402 1
Ag12 Ag 0.828 0.250 0.368 1
```

***

N(E_F), respectively: 22.0; 5.8; 8.5; 13.0; 6.2; 7.8; 4.0; 2.7; 17.2; 4.7; 10.2; 25.2 states/eV/cell.
Formation energy from the elements, respectively: 0.04; -0.23; -0.07; -0.05; -0.17; -0.26; -0.32; -0.31; -0.35; -0.02; -0.22; -0.28 eV per atom.